Pr5Y12Er, optimized geometry, DFT PBE; E_form = 0.02 eV per atom; spin magnetization = 0.00 Bohr magnetons per cell; DOS at the Fermi energy = 24.06 states/eV per cell
1.0
9.375 -5.399 0.000
9.375 5.399 0.000
-2.071 0.000 5.896
Pr Y Er
5 12 1
direct
0.000 0.000 0.000
0.167 0.167 0.501
0.334 0.334 0.002
0.666 0.666 0.998
0.833 0.833 0.499
0.001 0.665 0.999
0.168 0.501 0.501
0.169 0.831 0.500
0.334 0.666 0.000
0.335 0.999 0.001
0.499 0.832 0.499
0.501 0.168 0.501
0.665 0.001 0.999
0.666 0.334 0.000
0.831 0.169 0.500
0.832 0.499 0.499
0.999 0.335 0.001
0.500 0.500 0.500

***

Pr2YEr9, optimized geometry, DFT PBE; E_form = 0.03 eV per atom; spin magnetization = 0.00 Bohr magnetons per cell; DOS at the Fermi energy = 17.07 states/eV per cell
1.0
5.020 0.000 0.000
0.000 5.020 0.000
0.000 0.000 15.048
Pr Y Er
2 1 9
direct
0.000 0.000 0.167
0.000 0.000 0.833
0.000 0.000 0.500
0.000 0.500 0.000
0.000 0.500 0.335
0.000 0.500 0.665
0.500 0.000 0.000
0.500 0.000 0.335
0.500 0.000 0.665
0.500 0.500 0.168
0.500 0.500 0.500
0.500 0.500 0.832

***

PrY2Er5, optimized geometry, DFT PBE; E_form = 0.02 eV per atom; spin magnetization = 0.00 Bohr magnetons per cell; DOS at the Fermi energy = 11.18 states/eV per cell
1.0
-3.550 3.550 5.002
3.550 -3.550 5.002
3.550 3.550 -5.002
Pr Y Er
1 2 5
direct
0.000 0.000 0.000
0.000 0.500 0.500
0.500 0.000 0.500
0.000 0.000 0.500
0.000 0.500 0.000
0.500 0.000 0.000
0.500 0.500 0.000
0.500 0.500 0.500

***

PrYEr2, optimized geometry, DFT PBE; E_form = 0.02 eV per atom; spin magnetization = 0.00 Bohr magnetons per cell; DOS at the Fermi energy = 5.73 states/eV per cell
1.0
1.790 1.034 11.622
-1.790 1.034 11.622
0.000 -2.067 11.622
Pr Y Er
1 1 2
direct
0.000 0.000 0.000
0.500 0.500 0.500
0.249 0.249 0.249
0.751 0.751 0.751

***

Pr3Y5Er3, optimized geometry, DFT PBE; E_form = 0.34 eV per atom; spin magnetization = 0.00 Bohr magnetons per cell; DOS at the Fermi energy = 16.98 states/eV per cell
1.0
11.245 0.000 0.000
-5.622 9.738 0.000
0.000 0.000 3.450
Pr Y Er
3 5 3
direct
0.000 0.340 0.000
0.340 0.000 0.000
0.660 0.660 0.000
0.000 0.838 0.000
0.162 0.162 0.000
0.333 0.667 0.000
0.667 0.333 0.000
0.838 0.000 0.000
0.000 0.592 0.500
0.408 0.408 0.500
0.592 0.000 0.500

***

PrY6Er5, optimized geometry, DFT PBE; E_form = 0.02 eV per atom; spin magnetization = 0.00 Bohr magnetons per cell; DOS at the Fermi energy = 17.14 states/eV per cell
1.0
3.080 -5.329 0.000
3.080 5.329 0.000
-2.044 0.000 11.615
Pr Y Er
1 6 5
direct
0.000 0.000 0.000
0.084 0.418 0.252
0.250 0.250 0.748
0.418 0.084 0.252
0.582 0.916 0.748
0.750 0.750 0.252
0.916 0.582 0.748
0.167 0.833 0.500
0.333 0.667 0.000
0.500 0.500 0.500
0.667 0.333 0.000
0.833 0.167 0.500

***

PrY3Er4, optimized geometry, DFT PBE; E_form = 0.18 eV per atom; spin magnetization = 0.00 Bohr magnetons per cell; DOS at the Fermi energy = 14.22 states/eV per cell
1.0
11.782 -1.727 0.000
11.782 1.727 0.000
-1.896 0.000 6.419
Pr Y Er
1 3 4
direct
0.000 0.000 0.000
0.372 0.372 0.627
0.500 0.500 0.500
0.628 0.628 0.373
0.240 0.240 0.232
0.374 0.374 0.118
0.626 0.626 0.882
0.760 0.760 0.768

***

PrY2Er6, optimized geometry, DFT PBE; E_form = 0.38 eV per atom; spin magnetization = 0.00 Bohr magnetons per cell; DOS at the Fermi energy = 15.85 states/eV per cell
1.0
3.451 1.993 7.695
-3.451 1.993 7.695
0.000 -3.985 7.695
Pr Y Er
1 2 6
direct
0.000 0.000 0.000
0.247 0.247 0.247
0.412 0.412 0.412
0.226 0.719 0.719
0.438 0.947 0.947
0.719 0.226 0.719
0.719 0.719 0.226
0.947 0.438 0.947
0.947 0.947 0.438

***

Pr3YEr2, optimized geometry, DFT PBE; E_form = 0.11 eV per atom; spin magnetization = 0.00 Bohr magnetons per cell; DOS at the Fermi energy = 19.57 states/eV per cell
1.0
6.652 -1.783 0.000
6.652 1.783 0.000
-3.872 0.000 17.414
Pr Y Er
6 2 4
direct
0.068 0.068 0.168
0.267 0.267 0.662
0.372 0.372 0.010
0.628 0.628 0.990
0.733 0.733 0.338
0.932 0.932 0.832
0.459 0.459 0.319
0.541 0.541 0.681
0.197 0.197 0.834
0.367 0.367 0.499
0.633 0.633 0.501
0.803 0.803 0.166

***

Pr2YEr8, optimized geometry, DFT PBE; E_form = 0.16 eV per atom; spin magnetization = 0.00 Bohr magnetons per cell; DOS at the Fermi energy = 14.34 states/eV per cell
1.0
4.530 -8.009 0.000
4.530 8.009 0.000
-3.244 0.000 4.916
Pr Y Er
2 1 8
direct
0.193 0.807 0.000
0.807 0.193 0.000
0.500 0.500 0.500
0.069 0.069 0.296
0.170 0.402 0.825
0.293 0.707 0.500
0.402 0.170 0.825
0.598 0.830 0.175
0.707 0.293 0.500
0.830 0.598 0.175
0.931 0.931 0.704

***

Pr3Y2Er7, optimized geometry, DFT PBE; E_form = 0.09 eV per atom; spin magnetization = 0.00 Bohr magnetons per cell; DOS at the Fermi energy = 17.94 states/eV per cell
1.0
6.350 0.000 0.000
0.000 3.529 0.000
-1.919 0.000 17.454
Pr Y Er
3 2 7
direct
0.000 0.000 0.000
0.046 0.500 0.658
0.954 0.500 0.342
0.446 0.000 0.326
0.554 0.000 0.674
0.231 0.500 0.165
0.247 0.000 0.500
0.276 0.000 0.835
0.500 0.500 0.000
0.724 0.000 0.165
0.753 0.000 0.500
0.769 0.500 0.835

***

Pr7Y6Er16, optimized geometry, DFT PBE; E_form = 0.25 eV per atom; spin magnetization = 0.00 Bohr magnetons per cell; DOS at the Fermi energy = 55.10 states/eV per cell
1.0
0.000 7.931 7.931
7.931 0.000 7.931
7.931 7.931 0.000
Pr Y Er
7 6 16
direct
0.000 0.000 0.000
0.000 0.000 0.500
0.000 0.500 0.000
0.000 0.500 0.500
0.500 0.000 0.000
0.500 0.000 0.500
0.500 0.500 0.000
0.263 0.263 0.737
0.263 0.737 0.263
0.263 0.737 0.737
0.737 0.263 0.263
0.737 0.263 0.737
0.737 0.737 0.263
0.044 0.652 0.652
0.128 0.128 0.128
0.128 0.128 0.616
0.128 0.616 0.128
0.348 0.348 0.348
0.348 0.348 0.956
0.348 0.956 0.348
0.384 0.872 0.872
0.616 0.128 0.128
0.652 0.044 0.652
0.652 0.652 0.044
0.652 0.652 0.652
0.872 0.384 0.872
0.872 0.872 0.384
0.872 0.872 0.872
0.956 0.348 0.348